Run 1
{"formula": "RbOsPb", "functional": "PBE-GGA", "state": "optimized geometry", "spacegroup": "F-43m", "lattice": [[-0.6951, -4.8856, 1.6987], [-3.7908, -2.9552, -2.0334], [1.2062, -4.0322, -3.0862]], "species": ["Os", "Pb", "Rb"], "frac_coords": [[0.2500, 0.2500, 0.2500], [0.7500, 0.7500, 0.7500], [0.0000, 0.0000, 0.0000]]}

***

Run 2
{"formula": "RbOsPb", "functional": "PBE-GGA", "state": "optimized geometry", "spacegroup": "F-43m", "lattice": [[-0.0058, -4.9176, 0.1929], [-4.1092, -2.4092, 1.2370], [-2.4480, -2.5927, -3.3919]], "species": ["Os", "Pb", "Rb"], "frac_coords": [[0.0000, 0.0000, 0.0000], [0.2500, 0.2500, 0.2500], [0.7500, 0.7500, 0.7500]]}

***

Stability verdict: run 2, ahead by 897 meV per atom

***

Run 1
{"formula": "Os2Pd", "functional": "PBE-GGA", "state": "optimized geometry", "spacegroup": "Fd-3m", "lattice": [[3.9743, 2.2946, 6.4901], [-3.9743, 2.2946, 6.4901], [0.0000, -4.5892, 6.4901]], "species": ["Os", "Os", "Os", "Os", "Pd", "Pd"], "frac_coords": [[0.3750, 0.3750, 0.3750], [0.3750, 0.8750, 0.3750], [0.8750, 0.3750, 0.3750], [0.3750, 0.3750, 0.8750], [0.2500, 0.2500, 0.2500], [0.5000, 0.5000, 0.5000]]}

***

Run 2
{"formula": "Os2Pd", "functional": "PBE-GGA", "state": "optimized geometry", "spacegroup": "Fd-3m", "lattice": [[0.0000, 3.6288, 3.6288], [3.6288, 0.0000, 3.6288], [3.6288, 3.6288, 0.0000]], "species": ["Os", "Os", "Os", "Os", "Pd", "Pd"], "frac_coords": [[0.6250, 0.6250, 0.1250], [0.6250, 0.1250, 0.6250], [0.1250, 0.6250, 0.6250], [0.6250, 0.6250, 0.6250], [0.0000, 0.0000, 0.0000], [0.2500, 0.2500, 0.2500]]}

***

Stability verdict: run 2, ahead by 3364 meV per atom

***

Run 1
{"formula": "RbOsPd", "functional": "PBE-GGA", "state": "optimized geometry", "spacegroup": "F-43m", "lattice": [[-0.7099, -2.0775, 4.3132], [-4.2805, 0.4288, 2.2174], [-2.9211, -3.8396, 0.3852]], "species": ["Os", "Pd", "Rb"], "frac_coords": [[0.2500, 0.2500, 0.2500], [0.7500, 0.7500, 0.7500], [0.0000, 0.0000, 0.0000]]}

***

Run 2
{"formula": "RbOsPd", "functional": "PBE-GGA", "state": "optimized geometry", "spacegroup": "F-43m", "lattice": [[0.0000, 3.3859, 3.3859], [3.3859, 0.0000, 3.3859], [3.3859, 3.3859, 0.0000]], "species": ["Os", "Pd", "Rb"], "frac_coords": [[0.2500, 0.2500, 0.2500], [0.0000, 0.0000, 0.0000], [0.7500, 0.7500, 0.7500]]}

***

Stability verdict: run 2, ahead by 706 meV per atom

***

Run 1
{"formula": "Sc2OsPd", "functional": "PBE-GGA", "state": "optimized geometry", "spacegroup": "I4/mmm", "lattice": [[4.5986, 0.0000, 0.0000], [0.0000, 6.4862, 0.0000], [0.0000, 0.0000, 13.7937]], "species": ["Os", "Os", "Os", "Os", "Os", "Os", "Pd", "Pd", "Pd", "Pd", "Pd", "Pd", "Sc", "Sc", "Sc", "Sc", "Sc", "Sc", "Sc", "Sc", "Sc", "Sc", "Sc", "Sc"], "frac_coords": [[0.0000, 0.5000, 0.0000], [0.5005, 0.0000, 0.1667], [0.0005, 0.5000, 0.3333], [0.5000, 0.0000, 0.5000], [0.9995, 0.5000, 0.6667], [0.4995, 0.0000, 0.8333], [0.0000, 0.0000, 0.0000], [0.5006, 0.5000, 0.1667], [0.0006, 0.0000, 0.3333], [0.5000, 0.5000, 0.5000], [0.9994, 0.0000, 0.6667], [0.4994, 0.5000, 0.8333], [0.5000, 0.2500, 0.0000], [0.5000, 0.7500, 0.0000], [0.0005, 0.2500, 0.1667], [0.0005, 0.7500, 0.1667], [0.5005, 0.2500, 0.3333], [0.5005, 0.7500, 0.3333], [0.0000, 0.2500, 0.5000], [0.0000, 0.7500, 0.5000], [0.4995, 0.2500, 0.6667], [0.4995, 0.7500, 0.6667], [0.9995, 0.2500, 0.8333], [0.9995, 0.7500, 0.8333]]}

***

Run 2
{"formula": "Sc2OsPd", "functional": "PBE-GGA", "state": "optimized geometry", "spacegroup": "P4/mmm", "lattice": [[6.4575, 0.0000, 0.0000], [0.0000, 6.4567, 0.0000], [0.0000, 0.0000, 6.5823]], "species": ["Os", "Os", "Os", "Os", "Pd", "Pd", "Pd", "Pd", "Sc", "Sc", "Sc", "Sc", "Sc", "Sc", "Sc", "Sc"], "frac_coords": [[0.7500, 0.2500, 0.0000], [0.2500, 0.7500, 0.0000], [0.7500, 0.2500, 0.5000], [0.2500, 0.7500, 0.5000], [0.2500, 0.2500, 0.0000], [0.7500, 0.7500, 0.0000], [0.2500, 0.2500, 0.5000], [0.7500, 0.7500, 0.5000], [0.5000, 0.0000, 0.2500], [0.5000, 0.5000, 0.2500], [0.0000, 0.0000, 0.2500], [0.0000, 0.5000, 0.2500], [0.0000, 0.0000, 0.7500], [0.5000, 0.0000, 0.7500], [0.5000, 0.5000, 0.7500], [0.0000, 0.5000, 0.7500]]}

***

Run 3
{"formula": "Sc2OsPd", "functional": "PBE-GGA", "state": "optimized geometry", "spacegroup": "P4/mmm", "lattice": [[-2.4368, 1.9475, 0.9604], [-1.8929, -1.1977, -2.3740], [-2.1124, -4.6243, 4.0174]], "species": ["Os", "Pd", "Sc", "Sc"], "frac_coords": [[0.0000, 0.0000, 0.5000], [0.0000, 0.0000, 0.0000], [0.5000, 0.5000, 0.2628], [0.5000, 0.5000, 0.7372]]}

***

Stability verdict: run 3, ahead by 44 meV per atom

***

Run 1
{"formula": "PmZnOs", "functional": "PBE-GGA", "state": "optimized geometry", "spacegroup": "F-43m", "lattice": [[-3.6354, -2.1181, 1.8041], [-4.0287, 2.1621, 0.2284], [-3.4577, -1.3111, -2.6986]], "species": ["Os", "Pm", "Zn"], "frac_coords": [[0.0000, 0.0000, 0.0000], [0.2500, 0.2500, 0.2500], [0.7500, 0.7500, 0.7500]]}

***

Run 2
{"formula": "PmZnOs", "functional": "PBE-GGA", "state": "optimized geometry", "spacegroup": "F-43m", "lattice": [[0.0000, 3.3094, 3.3094], [3.3094, 0.0000, 3.3094], [3.3094, 3.3094, 0.0000]], "species": ["Os", "Pm", "Zn"], "frac_coords": [[0.2500, 0.2500, 0.2500], [0.0000, 0.0000, 0.0000], [0.7500, 0.7500, 0.7500]]}

***

Stability verdict: run 1, ahead by 627 meV per atom

***

Run 1
{"formula": "PrPuOs", "functional": "PBE-GGA", "state": "optimized geometry", "spacegroup": "Pnma", "lattice": [[-3.9176, 5.0441, 4.3406], [-3.6680, -2.4239, -0.4938], [2.0241, -4.5005, 7.0567]], "species": ["Os", "Os", "Os", "Os", "Pr", "Pr", "Pr", "Pr", "Pu", "Pu", "Pu", "Pu"], "frac_coords": [[0.7162, 0.7500, 0.1117], [0.2162, 0.7500, 0.3883], [0.7838, 0.2500, 0.6117], [0.2838, 0.2500, 0.8883], [0.0192, 0.2500, 0.1729], [0.5192, 0.2500, 0.3271], [0.4808, 0.7500, 0.6729], [0.9808, 0.7500, 0.8271], [0.3494, 0.7500, 0.0730], [0.8494, 0.7500, 0.4270], [0.1506, 0.2500, 0.5730], [0.6506, 0.2500, 0.9270]]}

***

Run 2
{"formula": "PrPuOs", "functional": "PBE-GGA", "state": "optimized geometry", "spacegroup": "F-43m", "lattice": [[-0.0540, 3.3506, 3.4091], [-3.9408, 2.6061, 0.7277], [-2.6030, -0.6564, 3.9554]], "species": ["Os", "Pr", "Pu"], "frac_coords": [[0.0000, 0.0000, 0.0000], [0.2500, 0.2500, 0.2500], [0.7500, 0.7500, 0.7500]]}

***

Stability verdict: run 1, ahead by 208 meV per atom